The following is a DFT calculation (PBE-GGA) of an optimized crystal structure of Ir8Ru2Rh3.

Unit cell a=4.270 b=5.978 c=8.457 alpha=110.70 beta=90.00 gamma=90.00
Positions (direct):
Ir (0.000, 0.338, 0.677)
Ir (0.000, 0.662, 0.323)
Ir (0.000, 0.861, 0.723)
Ir (0.000, 0.139, 0.277)
Ir (0.500, 0.828, 0.229)
Ir (0.500, 0.402, 0.229)
Ir (0.500, 0.598, 0.771)
Ir (0.500, 0.172, 0.771)
Ru (0.500, 0.760, 0.520)
Ru (0.500, 0.240, 0.480)
Rh (0.500, 0.000, 0.000)
Rh (0.000, 0.277, 0.000)
Rh (0.000, 0.723, 0.000)

Summary:
Energy relative to the elements ... 0.39 eV per atom